[1]
This record from Alexandria via LeMat-Bulk describes a geometry-optimized BaY2TiTe structure. The functional is GGA-PBE.

Cell lengths 5.691, 6.358, 5.691 Å; angles 90.00, 90.00, 90.00 degrees
Fractional positions:
Te: 0.000 0.000 0.000
Ti: 0.500 0.500 0.500
Y: 0.500 0.000 0.000
Y: 0.000 0.000 0.500
Ba: 0.000 0.500 0.000

Computed properties:
Crystal system = tetragonal
Magnetic moment = 0.093 μB/atom
VASP energy = -4.760 eV per atom
E_form (uncorrected) = 0.42 eV per atom

***

[2]
This record from Alexandria via LeMat-Bulk describes a geometry-optimized Cs3Pu2MgTe6 structure. The functional is GGA-PBE.

Cell lengths 7.925, 7.925, 9.227 Å; angles 98.23, 98.23, 120.02 degrees
Fractional positions:
Cs: 0.834 0.166 0.500
Cs: 0.500 0.500 0.500
Cs: 0.166 0.834 0.500
Te: 0.392 0.062 0.185
Te: 0.269 0.269 0.816
Te: 0.062 0.392 0.185
Te: 0.938 0.608 0.815
Te: 0.608 0.938 0.815
Te: 0.731 0.731 0.184
Mg: 0.000 0.000 0.000
Pu: 0.667 0.333 0.000
Pu: 0.333 0.667 0.000

Computed properties:
Crystal system = monoclinic
Magnetic moment = 0.750 μB/atom
VASP energy = -5.306 eV per atom
E_form (uncorrected) = -1.00 eV per atom

***

[3]
This record from Alexandria via LeMat-Bulk describes a geometry-optimized Pr2YTm7 structure. The functional is GGA-PBE.

Cell lengths 3.504, 14.702, 14.702 Å; angles 154.66, 90.00, 90.00 degrees
Fractional positions:
Tm: 0.500 0.148 0.343
Tm: 0.500 0.657 0.852
Tm: 0.500 0.852 0.657
Tm: 0.000 0.817 0.183
Tm: 0.500 0.343 0.148
Tm: 0.500 0.500 0.500
Tm: 0.000 0.183 0.817
Pr: 0.500 0.709 0.291
Pr: 0.500 0.291 0.709
Y: 0.000 0.000 0.000

Computed properties:
Formation energy from the elements = 0.16 eV per atom
Crystal system = orthorhombic
Magnetic moment = 0.000 μB/atom
VASP energy = -4.577 eV per atom

***

[4]
This record from Alexandria via LeMat-Bulk describes a geometry-optimized Li2CoRh structure. The functional is GGA-PBE.

Cell lengths 4.082, 4.082, 4.082 Å; angles 60.00, 60.00, 60.00 degrees
Fractional positions:
Rh: 0.500 0.500 0.500
Li: 0.250 0.250 0.250
Li: 0.750 0.750 0.750
Co: 0.000 0.000 0.000

Computed properties:
Formation energy from the elements = 0.22 eV per atom
Crystal system = cubic
Magnetic moment = 0.535 μB/atom
VASP energy = -4.347 eV per atom

***

[5]
This record from Alexandria via LeMat-Bulk describes a geometry-optimized Ba2AlHgTe5 structure. The functional is GGA-PBE.

Cell lengths 4.482, 11.109, 13.490 Å; angles 90.00, 90.00, 101.64 degrees
Fractional positions:
Ba: 0.885 0.771 0.176
Ba: 0.115 0.229 0.291
Ba: 0.115 0.229 0.676
Ba: 0.885 0.771 0.791
Te: 0.723 0.446 0.177
Te: 0.042 0.085 0.049
Te: 0.277 0.554 0.677
Te: 0.366 0.732 0.985
Te: 0.634 0.268 0.485
Te: 0.958 0.915 0.549
Te: 0.689 0.378 0.893
Te: 0.311 0.622 0.393
Te: 0.510 0.020 0.777
Te: 0.490 0.980 0.277
Al: 0.570 0.139 0.945
Al: 0.430 0.861 0.445
Hg: 0.761 0.522 0.529
Hg: 0.239 0.478 0.029

Computed properties:
Crystal system = orthorhombic
Magnetic moment = 0.000 μB/atom
VASP energy = -3.487 eV per atom
E_form (uncorrected) = -0.86 eV per atom